1.
# TbPrNp | Alexandria via LeMat-Bulk | GGA-PBE | optimized geometry
# Total DFT energy (no corrections) = -7.20 eV/atom
# Formation energy from the elements = 0.25 eV/atom
data_TbPrNp
_chemical_formula_sum 'Tb4 Pr4 Np4'
_space_group_name_H-M_alt 'C 1 2/m 1'
_space_group_IT_number 12
_cell_length_a 17.0705
_cell_length_b 3.5875
_cell_length_c 5.9861
_cell_angle_alpha 90.00
_cell_angle_beta 101.17
_cell_angle_gamma 90.00
loop_
_space_group_symop_operation_xyz
'x,y,z'
'-x,-y,-z'
'-x,y,-z'
'x,-y,z'
'x+1/2,y+1/2,z'
'-x+1/2,-y+1/2,-z'
'-x+1/2,y+1/2,-z'
'x+1/2,-y+1/2,z'
loop_
_atom_site_label
_atom_site_fract_x
_atom_site_fract_y
_atom_site_fract_z
Tb1 0.1330 0.0000 0.3265
Pr1 0.0648 0.5000 0.7927
Np1 0.2353 0.0000 0.8670

2.
# Tb2Pr3Dy7 | Alexandria via LeMat-Bulk | GGA-PBE | optimized geometry
# Total DFT energy (no corrections) = -4.57 eV/atom
# Formation energy from the elements = 0.08 eV/atom
data_Tb2Pr3Dy7
_chemical_formula_sum 'Tb2 Pr3 Dy7'
_space_group_name_H-M_alt 'P 1 2/m 1'
_space_group_IT_number 10
_cell_length_a 5.8584
_cell_length_b 3.5890
_cell_length_c 18.8947
_cell_angle_alpha 90.00
_cell_angle_beta 93.10
_cell_angle_gamma 90.00
loop_
_space_group_symop_operation_xyz
'x,y,z'
'-x,-y,-z'
'-x,y,-z'
'x,-y,z'
loop_
_atom_site_label
_atom_site_fract_x
_atom_site_fract_y
_atom_site_fract_z
Tb1 0.2121 0.0000 0.2924
Pr1 0.0000 0.0000 0.0000
Pr2 0.2768 0.5000 0.6334
Dy1 0.1910 0.5000 0.1439
Dy2 0.2431 0.0000 0.4622
Dy3 0.3067 0.0000 0.8251
Dy4 0.5000 0.5000 0.0000